VASP calculation (PBE) on a geometry-optimized Li2NiIrN structure.

```
data_Li2NiIrN
_chemical_formula_sum 'Li2 Ni1 Ir1 N1'
_cell_length_a 3.910
_cell_length_b 3.910
_cell_length_c 3.779
_cell_angle_alpha 90.00
_cell_angle_beta 90.00
_cell_angle_gamma 90.00
_space_group_name_H-M_alt 'P 1'
_space_group_IT_number 1
_space_group_name_Hall 'P 1'
loop_
_atom_site_label
_atom_site_type_symbol
_atom_site_fract_x
_atom_site_fract_y
_atom_site_fract_z
_atom_site_occupancy
Li1 Li 0.000 0.500 0.000 1
Li2 Li 0.500 0.000 0.000 1
Ni1 Ni 0.000 0.000 0.500 1
Ir1 Ir 0.500 0.500 0.500 1
N1 N 0.500 0.500 0.000 1
```

**DFT total energy**: -5.4491 eV per atom
**ΔE to the lowest computed polymorph**: 0 meV/atom
**Total moment**: 0.13 μB/cell
**Raw formation energy**: -0.090 eV per atom
**Symmetry**: No. 123

VASP calculation (PBE) on a geometry-optimized Hf15In4Hg structure.

```
data_Hf15In4Hg
_chemical_formula_sum 'Hf15 In4 Hg1'
_cell_length_a 4.420
_cell_length_b 4.420
_cell_length_c 22.113
_cell_angle_alpha 90.00
_cell_angle_beta 90.00
_cell_angle_gamma 90.00
_space_group_name_H-M_alt 'P 1'
_space_group_IT_number 1
_space_group_name_Hall 'P 1'
loop_
_atom_site_label
_atom_site_type_symbol
_atom_site_fract_x
_atom_site_fract_y
_atom_site_fract_z
_atom_site_occupancy
Hf1 Hf 0.000 0.000 0.000 1
Hf2 Hf 0.000 0.000 0.199 1
Hf3 Hf 0.000 0.000 0.400 1
Hf4 Hf 0.000 0.000 0.600 1
Hf5 Hf 0.000 0.000 0.801 1
Hf6 Hf 0.000 0.500 0.099 1
Hf7 Hf 0.000 0.500 0.300 1
Hf8 Hf 0.000 0.500 0.500 1
Hf9 Hf 0.000 0.500 0.700 1
Hf10 Hf 0.000 0.500 0.901 1
Hf11 Hf 0.500 0.000 0.099 1
Hf12 Hf 0.500 0.000 0.300 1
Hf13 Hf 0.500 0.000 0.500 1
Hf14 Hf 0.500 0.000 0.700 1
Hf15 Hf 0.500 0.000 0.901 1
In1 In 0.500 0.500 0.199 1
In2 In 0.500 0.500 0.400 1
In3 In 0.500 0.500 0.600 1
In4 In 0.500 0.500 0.801 1
Hg1 Hg 0.500 0.500 0.000 1
```

**DFT total energy**: -8.1545 eV per atom
**DFT formation energy**: -127 meV/atom
**Total moment**: 0.00 μB/cell
**Symmetry**: No. 123

VASP calculation (PBE) on a geometry-optimized Cs2SnBr7 structure.

```
data_Cs2SnBr7
_chemical_formula_sum 'Cs4 Sn2 Br14'
_cell_length_a 10.641
_cell_length_b 10.641
_cell_length_c 11.038
_cell_angle_alpha 120.14
_cell_angle_beta 120.14
_cell_angle_gamma 75.74
_space_group_name_H-M_alt 'P 1'
_space_group_IT_number 1
_space_group_name_Hall 'P 1'
loop_
_atom_site_label
_atom_site_type_symbol
_atom_site_fract_x
_atom_site_fract_y
_atom_site_fract_z
_atom_site_occupancy
Cs1 Cs 0.056 0.306 0.166 1
Cs2 Cs 0.306 0.056 0.666 1
Cs3 Cs 0.694 0.944 0.334 1
Cs4 Cs 0.944 0.694 0.834 1
Sn1 Sn 0.392 0.608 0.750 1
Sn2 Sn 0.608 0.392 0.250 1
Br1 Br 0.012 0.813 0.246 1
Br2 Br 0.187 0.988 0.254 1
Br3 Br 0.194 0.416 0.638 1
Br4 Br 0.233 0.663 0.516 1
Br5 Br 0.337 0.767 0.984 1
Br6 Br 0.414 0.586 0.250 1
Br7 Br 0.416 0.194 0.138 1
Br8 Br 0.584 0.806 0.862 1
Br9 Br 0.586 0.414 0.750 1
Br10 Br 0.663 0.233 0.016 1
Br11 Br 0.767 0.337 0.484 1
Br12 Br 0.806 0.584 0.362 1
Br13 Br 0.813 0.012 0.746 1
Br14 Br 0.988 0.187 0.754 1
```

**DFT total energy**: -2.7463 eV per atom
**Total moment**: 2.00 μB/cell
**Raw formation energy**: -1.004 eV per atom
**Symmetry**: No. 15

VASP calculation (PBE) on a geometry-optimized ScHN3 structure.

```
data_ScHN3
_chemical_formula_sum 'Sc1 H1 N3'
_cell_length_a 4.194
_cell_length_b 4.194
_cell_length_c 4.194
_cell_angle_alpha 90.00
_cell_angle_beta 90.00
_cell_angle_gamma 90.00
_space_group_name_H-M_alt 'P 1'
_space_group_IT_number 1
_space_group_name_Hall 'P 1'
loop_
_atom_site_label
_atom_site_type_symbol
_atom_site_fract_x
_atom_site_fract_y
_atom_site_fract_z
_atom_site_occupancy
Sc1 Sc 0.000 0.000 0.000 1
H1 H 0.500 0.500 0.500 1
N1 N 0.000 0.000 0.500 1
N2 N 0.000 0.500 0.000 1
N3 N 0.500 0.000 0.000 1
```

**DFT total energy**: -4.9026 eV per atom
**Total moment**: 3.30 μB/cell
**Symmetry**: No. 221